Density functional theory data (PBE) for CaBeBr2 after structural relaxation.

The structure in POSCAR format:
```
CaBeBr2
1.0
-3.085 -0.751 -2.530
-2.188 -2.710 3.472
-2.331 4.002 1.654
Be Ca Br
1 1 2
direct
0.500 0.000 0.500
0.500 0.500 0.000
0.000 0.000 0.000
0.000 0.500 0.500
```

The uncorrected formation energy comes out at -41.73 kJ per mole of atoms. The crystal system is tetragonal. The space group is P4/mmm (123). The offset from the most stable computed form is 367 meV/atom.